No. 1
First-principles (PBE-GGA) data for La4Dy3Cd after structural relaxation, as listed in Alexandria via LeMat-Bulk.

space group: P4/mmm (123)

a = 3.7394 Å, b = 3.7394 Å, c = 19.1765 Å
α = 90.00°, β = 90.00°, γ = 90.00°
Sites, in units of the cell vectors:
La (0.0000, 0.0000, 0.1111)
La (0.0000, 0.0000, 0.3716)
La (0.0000, 0.0000, 0.6284)
La (0.0000, 0.0000, 0.8889)
Dy (0.5000, 0.5000, 0.2430)
Dy (0.5000, 0.5000, 0.5000)
Dy (0.5000, 0.5000, 0.7570)
Cd (0.5000, 0.5000, 0.0000)

No. 2
First-principles (PBE-GGA) data for La12DyCd6 after structural relaxation, as listed in Alexandria via LeMat-Bulk.

space group: R-3 (148)

a = 8.4431 Å, b = 8.4431 Å, c = 8.4431 Å
α = 88.67°, β = 88.67°, γ = 88.67°
Sites, in units of the cell vectors:
La (0.0354, 0.9338, 0.3144)
La (0.0662, 0.6856, 0.9646)
La (0.1087, 0.4513, 0.3429)
La (0.3144, 0.0354, 0.9338)
La (0.3429, 0.1087, 0.4513)
La (0.4513, 0.3429, 0.1087)
La (0.5487, 0.6571, 0.8913)
La (0.6571, 0.8913, 0.5487)
La (0.6856, 0.9646, 0.0662)
La (0.8913, 0.5487, 0.6571)
La (0.9338, 0.3144, 0.0354)
La (0.9646, 0.0662, 0.6856)
Dy (0.5000, 0.5000, 0.5000)
Cd (0.2412, 0.3854, 0.7513)
Cd (0.2487, 0.7588, 0.6146)
Cd (0.3854, 0.7513, 0.2412)
Cd (0.6146, 0.2487, 0.7588)
Cd (0.7513, 0.2412, 0.3854)
Cd (0.7588, 0.6146, 0.2487)

No. 3
First-principles (PBE-GGA) data for LaDyCd17 after structural relaxation, as listed in Alexandria via LeMat-Bulk.

space group: R3m (160)

a = 7.6854 Å, b = 7.6854 Å, c = 7.6854 Å
α = 82.15°, β = 82.15°, γ = 82.15°
Sites, in units of the cell vectors:
La (0.0000, 0.0000, 0.0000)
Dy (0.6590, 0.6590, 0.6590)
Cd (0.0307, 0.3358, 0.6315)
Cd (0.0307, 0.6315, 0.3358)
Cd (0.2057, 0.6809, 0.6809)
Cd (0.2407, 0.2407, 0.2407)
Cd (0.3129, 0.3129, 0.8552)
Cd (0.3129, 0.8552, 0.3129)
Cd (0.3358, 0.0307, 0.6315)
Cd (0.3358, 0.6315, 0.0307)
Cd (0.4383, 0.4383, 0.4383)
Cd (0.5335, 0.9571, 0.9571)
Cd (0.6315, 0.0307, 0.3358)
Cd (0.6315, 0.3358, 0.0307)
Cd (0.6809, 0.2057, 0.6809)
Cd (0.6809, 0.6809, 0.2057)
Cd (0.8552, 0.3129, 0.3129)
Cd (0.9571, 0.5335, 0.9571)
Cd (0.9571, 0.9571, 0.5335)

No. 4
First-principles (PBE-GGA) data for La2Dy3Cd4 after structural relaxation, as listed in Alexandria via LeMat-Bulk.

space group: Cmce (64)

a = 9.8927 Å, b = 9.8927 Å, c = 8.3444 Å
α = 90.00°, β = 90.00°, γ = 139.02°
Sites, in units of the cell vectors:
La (0.0927, 0.9073, 0.9010)
La (0.4073, 0.5927, 0.4010)
La (0.5927, 0.4073, 0.5990)
La (0.9073, 0.0927, 0.0990)
Dy (0.0000, 0.0000, 0.5000)
Dy (0.0039, 0.4961, 0.7500)
Dy (0.4961, 0.0039, 0.2500)
Dy (0.5000, 0.5000, 0.0000)
Dy (0.5039, 0.9961, 0.7500)
Dy (0.9961, 0.5039, 0.2500)
Cd (0.1640, 0.8360, 0.5113)
Cd (0.1755, 0.3245, 0.7500)
Cd (0.3245, 0.1755, 0.2500)
Cd (0.3360, 0.6640, 0.0113)
Cd (0.6640, 0.3360, 0.9887)
Cd (0.6755, 0.8245, 0.7500)
Cd (0.8245, 0.6755, 0.2500)
Cd (0.8360, 0.1640, 0.4887)

| no. | E_tot (eV per atom) |
| --- | --- |
| 1 | -4.3576 |
| 2 | -3.7803 |
| 3 | -1.4658 |
| 4 | -3.2141 |